No. 1
DFT (PBE) results for a relaxed structure of ThMgGe2Ir5.

The calculation puts the total energy at -7.362 eV/atom. As for the crystal system: tetragonal. The energy of formation from the pure elements is -0.41 eV/atom. As for the total magnetization: 0.00 μB/cell. Its space group is No. 123.

a = 4.1907 Å, b = 4.1907 Å, c = 9.1171 Å
α = 90.00°, β = 90.00°, γ = 90.00°
Closest atoms and distances in Å follow each position.
Positions (direct):
Th  0.0000  0.0000  0.0000  12 Ir 2.96-2.97
Mg  0.0000  0.0000  0.5000  8 Ge 3.20, 8 Ir 3.23
Ge  0.5000  0.5000  0.3676  1 Ge 2.41, 4 Ir 2.44
Ge  0.5000  0.5000  0.6324  1 Ge 2.41, 4 Ir 2.44
Ir  0.0000  0.5000  0.2310  2 Ge 2.44
Ir  0.0000  0.5000  0.7690  2 Ge 2.44
Ir  0.5000  0.0000  0.2310  2 Ge 2.44
Ir  0.5000  0.0000  0.7690  2 Ge 2.44
Ir  0.5000  0.5000  0.0000  4 Th 2.96, 8 Ir 2.97

No. 2
DFT (PBE) results for a relaxed structure of Th2MgGe4Ir3.

The calculation puts the total energy at -6.873 eV/atom. As for the crystal system: tetragonal. The energy of formation from the pure elements is -0.72 eV/atom. As for the total magnetization: 0.00 μB/cell. Its space group is No. 115.

a = 4.2760 Å, b = 4.2760 Å, c = 10.5391 Å
α = 90.00°, β = 90.00°, γ = 90.00°
Closest atoms and distances in Å follow each position.
Positions (direct):
Th  0.0000  0.5000  0.2405  8 Ge 3.26-3.32, 6 Ir 3.27-3.47, 2 Mg 3.47
Th  0.5000  0.0000  0.7595  8 Ge 3.26-3.32, 6 Ir 3.27-3.47, 2 Mg 3.47
Mg  0.0000  0.0000  0.5000  4 Ge 2.62
Ge  0.0000  0.0000  0.0000  4 Ir 2.50
Ge  0.0000  0.5000  0.6432  3 Ir 2.46-2.62, 2 Mg 2.62
Ge  0.5000  0.0000  0.3568  3 Ir 2.46-2.62, 2 Mg 2.62
Ge  0.5000  0.5000  0.0000  4 Ir 2.50
Ir  0.0000  0.5000  0.8767  5 Ge 2.46-2.50
Ir  0.5000  0.0000  0.1233  5 Ge 2.46-2.50
Ir  0.5000  0.5000  0.5000  4 Ge 2.62

No. 3
DFT (PBE) results for a relaxed structure of Mg2TlGeIr.

The calculation puts the total energy at -3.984 eV/atom. As for the crystal system: tetragonal. The energy of formation from the pure elements is -0.18 eV/atom. As for the total magnetization: 0.00 μB/cell. Its space group is No. 123.

a = 5.1195 Å, b = 5.1195 Å, c = 4.6884 Å
α = 90.00°, β = 90.00°, γ = 90.00°
Closest atoms and distances in Å follow each position.
Positions (direct):
Mg  0.0000  0.5000  0.0000  2 Ir 2.56
Mg  0.5000  0.0000  0.0000  2 Ir 2.56
Tl  0.0000  0.0000  0.5000  8 Mg 3.47, 4 Ge 3.62
Ge  0.5000  0.5000  0.5000  2 Ir 2.34
Ir  0.5000  0.5000  0.0000  2 Ge 2.34, 4 Mg 2.56

No. 4
DFT (PBE) results for a relaxed structure of Mg2UGe3Ir4.

The calculation puts the total energy at -6.672 eV/atom. As for the crystal system: tetragonal. The energy of formation from the pure elements is -0.30 eV/atom. As for the total magnetization: 1.44 μB/cell. Its space group is No. 115.

a = 4.1976 Å, b = 4.1976 Å, c = 10.8056 Å
α = 90.00°, β = 90.00°, γ = 90.00°
Closest atoms and distances in Å follow each position.
Positions (direct):
Mg  0.0000  0.5000  0.2210  4 Ge 3.14, 8 Ir 3.18-3.28
Mg  0.5000  0.0000  0.7790  4 Ge 3.14, 8 Ir 3.18-3.28
U  0.0000  0.0000  0.5000  4 Ir 2.66, 4 Ge 2.97
Ge  0.0000  0.5000  0.8750  5 Ir 2.43-2.50
Ge  0.5000  0.0000  0.1250  5 Ir 2.43-2.50
Ge  0.5000  0.5000  0.5000  4 Ir 2.66, 4 U 2.97
Ir  0.0000  0.0000  0.0000  4 Ge 2.50
Ir  0.0000  0.5000  0.6506  3 Ge 2.43-2.66, 2 U 2.66
Ir  0.5000  0.0000  0.3494  3 Ge 2.43-2.66, 2 U 2.66
Ir  0.5000  0.5000  0.0000  4 Ge 2.50

> Which of these has the highest energy of formation from the pure elements?

Mg2TlGeIr

> Which of these has the lowest energy of formation from the pure elements?

Th2MgGe4Ir3

> Among the records above, which one has the lowest energy of formation from the pure elements?

Th2MgGe4Ir3